First-principles (PBEsol) data for a geometry-optimized TlSi2Mo structure, as listed in Alexandria.

Output
density of states at the Fermi level	0.71	states/eV per atom
formation energy (no corrections)	2.76	eV/f.u.

a b c (Å): 3.3355 4.4196 4.5371
angles (deg): 90.00 90.00 90.00
Last column: nearest neighbours and their distance in Å.
Fractional coordinates of all 4 atoms:
Tl 0.0000 0.0000 0.0000  4 Si 2.77, 4 Mo 2.82
Si 0.0000 0.5000 0.5000  4 Mo 2.77, 4 Si 2.82
Si 0.5000 0.5000 0.0000  4 Tl 2.77, 4 Si 2.82
Mo 0.5000 0.0000 0.5000  4 Si 2.77, 4 Tl 2.82

***

First-principles (PBEsol) data for a geometry-optimized BaLi2Co structure, as listed in Alexandria.

Output
energy relative to the elements	0.56	eV per atom
density of states at the Fermi level	1.59	states/eV per atom

a b c (Å): 10.7517 10.7517 10.7517
angles (deg): 157.36 157.36 32.24
Last column: nearest neighbours and their distance in Å.
Fractional coordinates of all 8 atoms:
Ba 0.0000 0.0000 0.0000  4 Co 2.99, 4 Li 3.12
Ba 0.7500 0.2500 0.5000  4 Co 2.99, 4 Li 3.12
Li 0.2070 0.6250 0.0820  2 Li 2.54
Li 0.3750 0.4570 0.5820  2 Li 2.54
Li 0.5430 0.1250 0.9180  2 Li 2.54
Li 0.8750 0.7930 0.4180  2 Li 2.54
Co 0.2500 0.7500 0.5000  4 Li 2.88, 4 Ba 2.99
Co 0.5000 0.5000 0.0000  4 Li 2.88, 4 Ba 2.99

***

First-principles (PBEsol) data for a geometry-optimized AgRuF3 structure, as listed in Alexandria.

Output
density of states at the Fermi level	0.73	states/eV per atom
formation energy (no corrections)	-3.84	eV/f.u.

a b c (Å): 4.0809 4.0809 4.0809
angles (deg): 90.00 90.00 90.00
Last column: nearest neighbours and their distance in Å.
Fractional coordinates of all 5 atoms:
Ag 0.0000 0.0000 0.0000  12 F 2.89
Ru 0.5000 0.5000 0.5000  6 F 2.04
F 0.0000 0.5000 0.5000  2 Ru 2.04
F 0.5000 0.0000 0.5000  2 Ru 2.04
F 0.5000 0.5000 0.0000  2 Ru 2.04

***

First-principles (PBEsol) data for a geometry-optimized ScSi2Pd structure, as listed in Alexandria.

Output
density of states at the Fermi level	0.62	states/eV per atom
formation energy (no corrections)	-1.75	eV/f.u.

a b c (Å): 4.4209 4.4209 4.4209
angles (deg): 60.00 60.00 60.00
Last column: nearest neighbours and their distance in Å.
Fractional coordinates of all 4 atoms:
Sc 0.0000 0.0000 0.0000  8 Si 2.71
Si 0.2500 0.2500 0.2500  4 Sc 2.71, 4 Pd 2.71
Si 0.7500 0.7500 0.7500  4 Sc 2.71, 4 Pd 2.71
Pd 0.5000 0.5000 0.5000  8 Si 2.71

***

First-principles (PBEsol) data for a geometry-optimized Zn2CuPt structure, as listed in Alexandria.

Output
energy relative to the elements	-0.30	eV per atom
density of states at the Fermi level	0.35	states/eV per atom

a b c (Å): 2.8943 2.8943 6.2977
angles (deg): 90.00 90.00 90.00
Last column: nearest neighbours and their distance in Å.
Fractional coordinates of all 4 atoms:
Zn 0.0000 0.0000 0.2359  4 Cu 2.53, 4 Pt 2.64
Zn 0.0000 0.0000 0.7641  4 Cu 2.53, 4 Pt 2.64
Cu 0.5000 0.5000 0.0000  8 Zn 2.53
Pt 0.5000 0.5000 0.5000  8 Zn 2.64, 4 Pt 2.89

***

First-principles (PBEsol) data for a geometry-optimized TaPtRh structure, as listed in Alexandria.

Output
energy relative to the elements	-0.57	eV per atom
density of states at the Fermi level	0.66	states/eV per atom

a b c (Å): 4.8689 4.8689 4.8689
angles (deg): 140.46 140.46 57.16
Last column: nearest neighbours and their distance in Å.
Fractional coordinates of all 3 atoms:
Ta 0.0000 0.0000 0.0000  5 Rh 2.67-2.96, 5 Pt 2.72-2.87
Pt 0.6644 0.6644 0.0000  5 Rh 2.72-2.80, 5 Ta 2.72-2.87
Rh 0.3464 0.3464 0.0000  5 Ta 2.67-2.96, 5 Pt 2.72-2.80

***

First-principles (PBEsol) data for a geometry-optimized YZnCr2 structure, as listed in Alexandria.

Output
energy relative to the elements	0.67	eV per atom
density of states at the Fermi level	1.37	states/eV per atom

a b c (Å): 5.1662 5.1662 5.1662
angles (deg): 142.83 130.72 63.31
Last column: nearest neighbours and their distance in Å.
Fractional coordinates of all 4 atoms:
Y 0.0000 0.0000 0.0000  4 Zn 2.71, 8 Cr 2.82-3.02
Zn 0.5000 0.5000 0.0000  4 Cr 2.68, 4 Y 2.71
Cr 0.2597 0.7597 0.5000  2 Zn 2.68, 4 Cr 2.72, 2 Y 2.82
Cr 0.7403 0.2403 0.5000  2 Zn 2.68, 4 Cr 2.72, 2 Y 2.82

***

First-principles (PBEsol) data for a geometry-optimized Be4AlCo structure, as listed in Alexandria.

Output
energy relative to the elements	-0.35	eV per atom

a b c (Å): 4.1905 4.1905 4.1905
angles (deg): 60.00 60.00 60.00
Last column: nearest neighbours and their distance in Å.
Fractional coordinates of all 6 atoms:
Be 0.3760 0.3760 0.3760  6 Be 2.08-2.11
Be 0.3760 0.3760 0.8720  6 Be 2.08-2.11
Be 0.3760 0.8720 0.3760  6 Be 2.08-2.11
Be 0.8720 0.3760 0.3760  6 Be 2.08-2.11
Al 0.0000 0.0000 0.0000  12 Be 2.46, 4 Co 2.57
Co 0.7500 0.7500 0.7500  12 Be 2.46, 4 Al 2.57

***

First-principles (PBEsol) data for a geometry-optimized TcRh structure, as listed in Alexandria.

Output
energy relative to the elements	-0.13	eV per atom
density of states at the Fermi level	0.92	states/eV per atom

a b c (Å): 2.6960 2.6960 4.3180
angles (deg): 90.00 90.00 120.00
Last column: nearest neighbours and their distance in Å.
Fractional coordinates of all 2 atoms:
Tc 0.0000 0.0000 0.0000  6 Rh 2.66, 6 Tc 2.70
Rh 0.6667 0.3333 0.5000  6 Tc 2.66, 6 Rh 2.70

***

First-principles (PBEsol) data for a geometry-optimized HIrOs2Se structure, as listed in Alexandria.

Output
density of states at the Fermi level	1.08	states/eV per atom

a b c (Å): 4.8100 4.8100 3.1764
angles (deg): 90.00 90.00 90.00
Last column: nearest neighbours and their distance in Å.
Fractional coordinates of all 5 atoms:
H 0.0000 0.0000 0.0000  2 Ir 1.59
Ir 0.0000 0.0000 0.5000  2 H 1.59
Os 0.0000 0.5000 0.5000  2 Ir 2.41
Os 0.5000 0.0000 0.5000  2 Ir 2.41
Se 0.5000 0.5000 0.0000  8 Os 2.88, 2 Se 3.18

***

Number 1: total energy -0.213 Ha/atom, calculated density 8.85 g cm⁻³. Number 2: total energy -0.107 Ha/atom, calculated density 3.79 g cm⁻³. Number 3: total energy -0.170 Ha/atom, calculated density 6.50 g cm⁻³. Number 4: total energy -0.237 Ha/atom, calculated density 5.64 g cm⁻³. Number 5: total energy -0.144 Ha/atom, calculated density 12.26 g cm⁻³. Number 6: total energy -0.360 Ha/atom, calculated density 17.14 g cm⁻³. Number 7: total energy -0.241 Ha/atom, calculated density 6.87 g cm⁻³. Number 8: total energy -0.183 Ha/atom, calculated density 3.89 g cm⁻³. Number 9: total energy -0.361 Ha/atom, calculated density 12.27 g cm⁻³. Number 10: total energy -0.255 Ha/atom, calculated density 14.75 g cm⁻³.